Record 1
# AlRu2 | Alexandria via LeMat-Bulk | GGA-PBE | optimized geometry
data_AlRu2
_chemical_formula_sum 'Al4 Ru8'
_cell_length_a 5.806
_cell_length_b 5.806
_cell_length_c 5.806
_cell_angle_alpha 90.00
_cell_angle_beta 90.00
_cell_angle_gamma 90.00
_space_group_name_H-M_alt 'P a -3'
_space_group_IT_number 205
_space_group_name_Hall '-P 2ac 2ab 3'
loop_
_atom_site_label
_atom_site_type_symbol
_atom_site_fract_x
_atom_site_fract_y
_atom_site_fract_z
Al1 Al 0.000 0.000 0.000
Ru1 Ru 0.118 0.618 0.882
# Total energy   -6.800 eV per atom
# N(E_F)   19.00 states/eV per cell
# ρ   7.78 g/cm³
# Crystal system   cubic
# Energy of formation from the pure elements   0.63 eV/atom
# Magnetic moment   0.01 μB/cell

---

Record 2
# AlRu2 | Alexandria via LeMat-Bulk | GGA-PBE | optimized geometry
data_AlRu2
_chemical_formula_sum 'Al3 Ru6'
_cell_length_a 6.1829
_cell_length_b 6.1829
_cell_length_c 3.9117
_cell_angle_alpha 90.00
_cell_angle_beta 90.00
_cell_angle_gamma 120.00
_space_group_name_H-M_alt 'P -6 2 m'
_space_group_IT_number 189
_space_group_name_Hall 'P -6 -2'
loop_
_atom_site_label
_atom_site_type_symbol
_atom_site_fract_x
_atom_site_fract_y
_atom_site_fract_z
Al1 Al 0.0000 0.0000 0.0000
Al2 Al 0.3333 0.6667 0.5000
Ru1 Ru 0.0000 0.2469 0.5000
Ru2 Ru 0.0000 0.5722 0.0000
# Total energy   -7.438 eV per atom
# N(E_F)   8.46 states/eV per cell
# ρ   8.81 g/cm³
# Crystal system   hexagonal
# Energy of formation from the pure elements   -0.01 eV/atom
# Magnetic moment   0.00 μB/cell

---

Record 3
# AlRu5 | Alexandria via LeMat-Bulk | GGA-PBE | optimized geometry
data_AlRu5
_chemical_formula_sum 'Al2 Ru10'
_cell_length_a 4.311
_cell_length_b 2.770
_cell_length_c 14.032
_cell_angle_alpha 90.00
_cell_angle_beta 90.00
_cell_angle_gamma 90.00
_space_group_name_H-M_alt 'A m m 2'
_space_group_IT_number 38
loop_
_space_group_symop_operation_xyz
'x,y,z'
'-x,-y,z'
'-x,y,z'
'x,-y,z'
'x,y+1/2,z+1/2'
'-x,-y+1/2,z+1/2'
'-x,y+1/2,z+1/2'
'x,-y+1/2,z+1/2'
loop_
_atom_site_label
_atom_site_type_symbol
_atom_site_fract_x
_atom_site_fract_y
_atom_site_fract_z
Al1 Al 0.000 0.000 0.000
Ru1 Ru 0.000 0.000 0.328
Ru2 Ru 0.000 0.000 0.666
Ru3 Ru 0.500 0.000 0.216
Ru4 Ru 0.500 0.000 0.550
Ru5 Ru 0.500 0.000 0.885
# Total energy   -8.446 eV per atom
# N(E_F)   11.66 states/eV per cell
# ρ   10.55 g/cm³
# Polymorph energy (0 for the lowest one)   39 meV per atom
# Crystal system   orthorhombic
# Energy of formation from the pure elements   -0.09 eV/atom
# Magnetic moment   0.00 μB/cell

---

Record 4
# Al2Ru | Alexandria via LeMat-Bulk | GGA-PBE | optimized geometry
data_Al2Ru
_chemical_formula_sum 'Al16 Ru8'
_cell_length_a 4.736
_cell_length_b 8.050
_cell_length_c 8.837
_cell_angle_alpha 90.00
_cell_angle_beta 90.00
_cell_angle_gamma 90.00
_space_group_name_H-M_alt 'F d d d'
_space_group_IT_number 70
loop_
_space_group_symop_operation_xyz
'x,y,z'
'-x,-y,-z'
'-x+1/4,-y+1/4,z'
'x+1/4,y+1/4,-z'
'x,-y+1/4,-z+1/4'
'-x,y+1/4,z+1/4'
'-x+1/4,y,-z+1/4'
'x+1/4,-y,z+1/4'
'x,y+1/2,z+1/2'
'-x,-y+1/2,-z+1/2'
'-x+1/4,-y+3/4,z+1/2'
'x+1/4,y+3/4,-z+1/2'
'x,-y+3/4,-z+3/4'
'-x,y+3/4,z+3/4'
'-x+1/4,y+1/2,-z+3/4'
'x+1/4,-y+1/2,z+3/4'
'x+1/2,y,z+1/2'
'-x+1/2,-y,-z+1/2'
'-x+3/4,-y+1/4,z+1/2'
'x+3/4,y+1/4,-z+1/2'
'x+1/2,-y+1/4,-z+3/4'
'-x+1/2,y+1/4,z+3/4'
'-x+3/4,y,-z+3/4'
'x+3/4,-y,z+3/4'
'x+1/2,y+1/2,z'
'-x+1/2,-y+1/2,-z'
'-x+3/4,-y+3/4,z'
'x+3/4,y+3/4,-z'
'x+1/2,-y+3/4,-z+1/4'
'-x+1/2,y+3/4,z+1/4'
'-x+3/4,y+1/2,-z+1/4'
'x+3/4,-y+1/2,z+1/4'
loop_
_atom_site_label
_atom_site_type_symbol
_atom_site_fract_x
_atom_site_fract_y
_atom_site_fract_z
Al1 Al 0.125 0.296 0.125
Ru1 Ru 0.125 0.125 0.625
# Total energy   -6.307 eV per atom
# N(E_F)   0.14 states/eV per cell
# ρ   6.11 g/cm³
# Crystal system   orthorhombic
# Energy of formation from the pure elements   -0.72 eV/atom
# Magnetic moment   0.00 μB/cell

---

Record 5
# Al5Ru | Alexandria via LeMat-Bulk | GGA-PBE | optimized geometry
data_Al5Ru
_chemical_formula_sum 'Al10 Ru2'
_cell_length_a 9.868
_cell_length_b 3.058
_cell_length_c 6.286
_cell_angle_alpha 90.00
_cell_angle_beta 104.69
_cell_angle_gamma 90.00
_space_group_name_H-M_alt 'C 1 m 1'
_space_group_IT_number 8
loop_
_space_group_symop_operation_xyz
'x,y,z'
'x,-y,z'
'x+1/2,y+1/2,z'
'x+1/2,-y+1/2,z'
loop_
_atom_site_label
_atom_site_type_symbol
_atom_site_fract_x
_atom_site_fract_y
_atom_site_fract_z
Al1 Al 0.000 0.000 0.000
Al2 Al 0.043 0.000 0.608
Al3 Al 0.153 0.500 0.335
Al4 Al 0.318 0.000 0.681
Al5 Al 0.364 0.000 0.256
Ru1 Ru 0.213 0.500 0.948
# Total energy   -4.916 eV per atom
# N(E_F)   4.37 states/eV per cell
# ρ   4.27 g/cm³
# Crystal system   monoclinic
# Energy of formation from the pure elements   -0.25 eV/atom
# Magnetic moment   0.00 μB/cell

---

Record 6
# Al5Ru4 | Alexandria via LeMat-Bulk | GGA-PBE | optimized geometry
data_Al5Ru4
_chemical_formula_sum 'Al10 Ru8'
_cell_length_a 7.4247
_cell_length_b 7.4247
_cell_length_c 5.3154
_cell_angle_alpha 90.00
_cell_angle_beta 90.00
_cell_angle_gamma 120.00
_space_group_name_H-M_alt 'P 63/m c m'
_space_group_IT_number 193
_space_group_name_Hall '-P 6c 2'
loop_
_atom_site_label
_atom_site_type_symbol
_atom_site_fract_x
_atom_site_fract_y
_atom_site_fract_z
Al1 Al 0.0000 0.2939 0.2500
Al2 Al 0.3333 0.6667 0.0000
Ru1 Ru 0.0000 0.0000 0.0000
Ru2 Ru 0.0000 0.3709 0.7500
# Total energy   -6.696 eV per atom
# N(E_F)   8.76 states/eV per cell
# ρ   7.06 g/cm³
# Polymorph energy (0 for the lowest one)   0 meV per atom
# Crystal system   hexagonal
# Energy of formation from the pure elements   -0.49 eV/atom
# Magnetic moment   0.00 μB/cell

---

Record 7
# Al4Ru3 | Alexandria via LeMat-Bulk | GGA-PBE | optimized geometry
data_Al4Ru3
_chemical_formula_sum 'Al12 Ru9'
_cell_length_a 4.2320
_cell_length_b 4.2320
_cell_length_c 20.3305
_cell_angle_alpha 90.00
_cell_angle_beta 90.00
_cell_angle_gamma 120.00
_space_group_name_H-M_alt 'R -3 m'
_space_group_IT_number 166
_space_group_name_Hall '-R 3 2"'
loop_
_atom_site_label
_atom_site_type_symbol
_atom_site_fract_x
_atom_site_fract_y
_atom_site_fract_z
Al1 Al 0.0000 0.0000 0.1228
Al2 Al 0.0000 0.0000 0.3736
Ru1 Ru 0.0000 0.0000 0.2513
Ru2 Ru 0.0000 0.0000 0.5000
# Total energy   -6.640 eV per atom
# N(E_F)   6.62 states/eV per cell
# ρ   6.50 g/cm³
# Polymorph energy (0 for the lowest one)   0 meV per atom
# Crystal system   trigonal
# Energy of formation from the pure elements   -0.53 eV/atom
# Magnetic moment   0.00 μB/cell

---

Record 8
# AlRu5 | Alexandria via LeMat-Bulk | GGA-PBE | optimized geometry
data_AlRu5
_chemical_formula_sum 'Al2 Ru10'
_cell_length_a 9.835
_cell_length_b 2.762
_cell_length_c 6.369
_cell_angle_alpha 90.00
_cell_angle_beta 104.18
_cell_angle_gamma 90.00
_space_group_name_H-M_alt 'C 1 m 1'
_space_group_IT_number 8
loop_
_space_group_symop_operation_xyz
'x,y,z'
'x,-y,z'
'x+1/2,y+1/2,z'
'x+1/2,-y+1/2,z'
loop_
_atom_site_label
_atom_site_type_symbol
_atom_site_fract_x
_atom_site_fract_y
_atom_site_fract_z
Al1 Al 0.000 0.000 0.000
Ru1 Ru 0.050 0.000 0.605
Ru2 Ru 0.163 0.500 0.329
Ru3 Ru 0.222 0.500 0.932
Ru4 Ru 0.323 0.000 0.654
Ru5 Ru 0.379 0.000 0.274
# Total energy   -8.484 eV per atom
# N(E_F)   10.30 states/eV per cell
# ρ   10.54 g/cm³
# Polymorph energy (0 for the lowest one)   0 meV per atom
# Crystal system   monoclinic
# Energy of formation from the pure elements   -0.13 eV/atom
# Magnetic moment   0.00 μB/cell

---

Record 9
# Al2Ru | Alexandria via LeMat-Bulk | GGA-PBE | optimized geometry
data_Al2Ru
_chemical_formula_sum 'Al4 Ru2'
_cell_length_a 4.3278
_cell_length_b 4.3278
_cell_length_c 5.3089
_cell_angle_alpha 90.00
_cell_angle_beta 90.00
_cell_angle_gamma 120.00
_space_group_name_H-M_alt 'P 63/m m c'
_space_group_IT_number 194
_space_group_name_Hall '-P 6c 2c'
loop_
_atom_site_label
_atom_site_type_symbol
_atom_site_fract_x
_atom_site_fract_y
_atom_site_fract_z
Al1 Al 0.0000 0.0000 0.0000
Al2 Al 0.3333 0.6667 0.2500
Ru1 Ru 0.3333 0.6667 0.7500
# Total energy   -5.954 eV per atom
# N(E_F)   4.90 states/eV per cell
# ρ   5.98 g/cm³
# Crystal system   hexagonal
# Energy of formation from the pure elements   -0.37 eV/atom
# Magnetic moment   0.00 μB/cell

---

Record 10
# AlRu5 | Alexandria via LeMat-Bulk | GGA-PBE | optimized geometry
data_AlRu5
_chemical_formula_sum 'Al2 Ru10'
_cell_length_a 3.786
_cell_length_b 11.678
_cell_length_c 3.820
_cell_angle_alpha 90.00
_cell_angle_beta 90.00
_cell_angle_gamma 90.00
_space_group_name_H-M_alt 'C m m m'
_space_group_IT_number 65
_space_group_name_Hall '-C 2 2'
loop_
_atom_site_label
_atom_site_type_symbol
_atom_site_fract_x
_atom_site_fract_y
_atom_site_fract_z
Al1 Al 0.000 0.000 0.000
Ru1 Ru 0.000 0.169 0.500
Ru2 Ru 0.000 0.326 0.000
Ru3 Ru 0.000 0.500 0.500
# Total energy   -8.398 eV per atom
# N(E_F)   16.45 states/eV per cell
# ρ   10.47 g/cm³
# Polymorph energy (0 for the lowest one)   86 meV per atom
# Crystal system   orthorhombic
# Energy of formation from the pure elements   -0.04 eV/atom
# Magnetic moment   0.00 μB/cell

---

Record 11
# Al5Ru3 | Alexandria via LeMat-Bulk | GGA-PBE | optimized geometry
data_Al5Ru3
_chemical_formula_sum 'Al10 Ru6'
_cell_length_a 7.053
_cell_length_b 7.731
_cell_length_c 4.111
_cell_angle_alpha 90.00
_cell_angle_beta 90.00
_cell_angle_gamma 90.00
_space_group_name_H-M_alt 'C m m m'
_space_group_IT_number 65
_space_group_name_Hall '-C 2 2'
loop_
_atom_site_label
_atom_site_type_symbol
_atom_site_fract_x
_atom_site_fract_y
_atom_site_fract_z
Al1 Al 0.000 0.000 0.000
Al2 Al 0.207 0.500 0.500
Al3 Al 0.250 0.250 0.000
Ru1 Ru 0.000 0.206 0.500
Ru2 Ru 0.000 0.500 0.000
# Total energy   -6.419 eV per atom
# N(E_F)   7.85 states/eV per cell
# ρ   6.49 g/cm³
# Polymorph energy (0 for the lowest one)   0 meV per atom
# Crystal system   orthorhombic
# Energy of formation from the pure elements   -0.60 eV/atom
# Magnetic moment   0.00 μB/cell

---

Record 12
# AlRu2 | Alexandria via LeMat-Bulk | GGA-PBE | optimized geometry
data_AlRu2
_chemical_formula_sum 'Al4 Ru8'
_cell_length_a 9.559
_cell_length_b 2.819
_cell_length_c 6.392
_cell_angle_alpha 90.00
_cell_angle_beta 101.64
_cell_angle_gamma 90.00
_space_group_name_H-M_alt 'C 1 m 1'
_space_group_IT_number 8
loop_
_space_group_symop_operation_xyz
'x,y,z'
'x,-y,z'
'x+1/2,y+1/2,z'
'x+1/2,-y+1/2,z'
loop_
_atom_site_label
_atom_site_type_symbol
_atom_site_fract_x
_atom_site_fract_y
_atom_site_fract_z
Al1 Al 0.000 0.000 0.000
Al2 Al 0.196 0.500 0.364
Ru1 Ru 0.058 0.000 0.614
Ru2 Ru 0.222 0.500 0.963
Ru3 Ru 0.338 0.000 0.686
Ru4 Ru 0.411 0.000 0.287
# Total energy   -7.703 eV per atom
# N(E_F)   13.99 states/eV per cell
# ρ   9.02 g/cm³
# Crystal system   monoclinic
# Energy of formation from the pure elements   -0.27 eV/atom
# Magnetic moment   0.00 μB/cell